No. 1
Co5W, optimized geometry, DFT PBE-GGA; space-group type = P6_3/mmc; E = -7.81 eV per atom; total magnetic moment = 4.87 μB/f.u.
1.0
4.627 0.000 0.000
-2.313 4.007 0.000
0.000 0.000 15.620
Co W
20 4
direct
0.000 0.000 0.083
0.000 0.000 0.417
0.000 0.000 0.583
0.000 0.000 0.917
0.000 0.500 0.000
0.000 0.500 0.500
0.158 0.317 0.250
0.158 0.842 0.250
0.317 0.158 0.750
0.333 0.667 0.650
0.333 0.667 0.850
0.500 0.000 0.000
0.500 0.000 0.500
0.500 0.500 0.000
0.500 0.500 0.500
0.667 0.333 0.150
0.667 0.333 0.350
0.683 0.842 0.250
0.842 0.158 0.750
0.842 0.683 0.750
0.333 0.667 0.129
0.333 0.667 0.371
0.667 0.333 0.629
0.667 0.333 0.871

No. 2
ErFeCo2, optimized geometry, DFT PBE-GGA; space-group type = R-3m; E = -6.98 eV per atom; total magnetic moment = 4.47 μB/f.u.
1.0
2.519 1.454 7.847
-2.519 1.454 7.847
0.000 -2.908 7.847
Er Fe Co
3 3 6
direct
0.000 0.000 0.000
0.141 0.141 0.141
0.859 0.859 0.859
0.333 0.333 0.333
0.500 0.500 0.500
0.667 0.667 0.667
0.080 0.583 0.583
0.417 0.417 0.920
0.417 0.920 0.417
0.583 0.080 0.583
0.583 0.583 0.080
0.920 0.417 0.417

No. 3
KRbCu3, optimized geometry, DFT PBE-GGA; space-group type = Imm2; E = -2.33 eV per atom
1.0
-2.261 2.531 5.388
2.261 -2.531 5.388
2.261 2.531 -5.388
K Rb Cu
1 1 3
direct
0.000 0.000 0.000
0.391 0.391 0.000
0.450 0.692 0.758
0.690 0.190 0.500
0.934 0.692 0.242

No. 4
HoZnCuTe3, optimized geometry, DFT PBE-GGA; space-group type = Cmcm; E = -3.70 eV per atom; total magnetic moment = 0.00 μB/f.u.
1.0
1.994 -7.022 0.000
1.994 7.022 0.000
0.000 0.000 11.103
Ho Zn Cu Te
2 2 2 6
direct
0.000 0.000 0.000
0.000 0.000 0.500
0.231 0.769 0.750
0.769 0.231 0.250
0.477 0.523 0.250
0.523 0.477 0.750
0.103 0.897 0.250
0.349 0.651 0.078
0.349 0.651 0.422
0.651 0.349 0.578
0.651 0.349 0.922
0.897 0.103 0.750

No. 5
HoHfB, optimized geometry, DFT PBE-GGA; space-group type = F-43m; E = -5.40 eV per atom; total magnetic moment = 1.20 μB/f.u.
1.0
0.000 3.198 3.198
3.198 0.000 3.198
3.198 3.198 0.000
Ho Hf B
1 1 1
direct
0.000 0.000 0.000
0.250 0.250 0.250
0.750 0.750 0.750

No. 6
LuAu, optimized geometry, DFT PBE-GGA; space-group type = P-6m2; E = -4.56 eV per atom; total magnetic moment = 0.00 μB/f.u.
1.0
3.502 0.000 0.000
-1.751 3.033 0.000
0.000 0.000 4.202
Lu Au
1 1
direct
0.000 0.000 0.000
0.333 0.667 0.500

No. 7
TbY2Ga3AgPd2, optimized geometry, DFT PBE-GGA; space-group type = Amm2; E = -5.17 eV per atom; total magnetic moment = 0.01 μB/f.u.
1.0
3.737 0.000 0.000
0.000 6.530 3.775
0.000 -6.530 3.775
Tb Y Ga Ag Pd
1 2 3 1 2
direct
0.000 0.000 0.000
0.000 0.409 0.816
0.000 0.816 0.409
0.500 0.139 0.409
0.500 0.409 0.139
0.500 0.678 0.678
0.000 0.409 0.409
0.500 0.075 0.743
0.500 0.743 0.075

No. 8
Er3NiSn3Ir2, optimized geometry, DFT PBE-GGA; space-group type = Amm2; E = -6.25 eV per atom; total magnetic moment = 0.00 μB/f.u.
1.0
3.737 0.000 0.000
0.000 6.531 3.769
0.000 -6.531 3.769
Er Ni Sn Ir
3 1 3 2
direct
0.000 0.000 0.000
0.000 0.406 0.813
0.000 0.813 0.406
0.000 0.406 0.406
0.500 0.150 0.407
0.500 0.407 0.150
0.500 0.662 0.662
0.500 0.073 0.740
0.500 0.740 0.073

No. 9
TmLuHgC, optimized geometry, DFT PBE-GGA; space-group type = P6_3mc; E = -5.06 eV per atom; total magnetic moment = 0.71 μB/f.u.
1.0
3.531 0.000 0.000
-1.766 3.058 0.000
0.000 0.000 15.485
Tm Lu Hg C
2 2 2 2
direct
0.333 0.667 0.000
0.667 0.333 0.500
0.333 0.667 0.330
0.667 0.333 0.830
0.333 0.667 0.665
0.667 0.333 0.165
0.000 0.000 0.414
0.000 0.000 0.914

No. 10
YZnFeAg, optimized geometry, DFT PBE-GGA; space-group type = F-43m; E = -4.61 eV per atom; total magnetic moment = 2.24 μB/f.u.
1.0
0.000 3.330 3.330
3.330 0.000 3.330
3.330 3.330 0.000
Y Zn Fe Ag
1 1 1 1
direct
0.000 0.000 0.000
0.500 0.500 0.500
0.750 0.750 0.750
0.250 0.250 0.250

No. 11
Ba3Dy2P4S16, optimized geometry, DFT PBE-GGA; space-group type = Pbcn; E = -5.28 eV per atom; total magnetic moment = 0.00 μB/f.u.
1.0
19.319 0.000 0.000
0.000 10.365 0.000
0.000 0.000 12.709
Ba Dy P S
12 8 16 64
direct
0.000 0.118 0.250
0.000 0.882 0.750
0.227 0.211 0.609
0.227 0.789 0.109
0.273 0.289 0.109
0.273 0.711 0.609
0.500 0.382 0.750
0.500 0.618 0.250
0.727 0.289 0.391
0.727 0.711 0.891
0.773 0.211 0.891
0.773 0.789 0.391
0.073 0.372 0.887
0.073 0.628 0.387
0.427 0.128 0.387
0.427 0.872 0.887
0.573 0.128 0.113
0.573 0.872 0.613
0.927 0.372 0.613
0.927 0.628 0.113
0.102 0.496 0.140
0.102 0.504 0.640
0.131 0.063 0.952
0.131 0.937 0.452
0.369 0.437 0.452
0.369 0.563 0.952
0.398 0.004 0.640
0.398 0.996 0.140
0.602 0.004 0.860
0.602 0.996 0.360
0.631 0.437 0.048
0.631 0.563 0.548
0.869 0.063 0.548
0.869 0.937 0.048
0.898 0.496 0.360
0.898 0.504 0.860
0.016 0.388 0.099
0.016 0.612 0.599
0.032 0.120 0.915
0.032 0.880 0.415
0.068 0.319 0.669
0.068 0.681 0.169
0.147 0.070 0.113
0.147 0.930 0.613
0.150 0.116 0.394
0.150 0.884 0.894
0.152 0.435 0.270
0.152 0.565 0.770
0.168 0.495 0.514
0.168 0.505 0.014
0.192 0.209 0.886
0.192 0.791 0.386
0.308 0.291 0.386
0.308 0.709 0.886
0.332 0.005 0.014
0.332 0.995 0.514
0.348 0.065 0.770
0.348 0.935 0.270
0.350 0.384 0.894
0.350 0.616 0.394
0.353 0.430 0.613
0.353 0.570 0.113
0.432 0.181 0.169
0.432 0.819 0.669
0.468 0.380 0.415
0.468 0.620 0.915
0.484 0.112 0.599
0.484 0.888 0.099
0.516 0.112 0.901
0.516 0.888 0.401
0.532 0.380 0.085
0.532 0.620 0.585
0.568 0.181 0.331
0.568 0.819 0.831
0.647 0.430 0.887
0.647 0.570 0.387
0.650 0.384 0.606
0.650 0.616 0.106
0.652 0.065 0.730
0.652 0.935 0.230
0.668 0.005 0.486
0.668 0.995 0.986
0.692 0.291 0.114
0.692 0.709 0.614
0.808 0.209 0.614
0.808 0.791 0.114
0.832 0.495 0.986
0.832 0.505 0.486
0.848 0.435 0.230
0.848 0.565 0.730
0.850 0.116 0.106
0.850 0.884 0.606
0.853 0.070 0.387
0.853 0.930 0.887
0.932 0.319 0.831
0.932 0.681 0.331
0.968 0.120 0.585
0.968 0.880 0.085
0.984 0.388 0.401
0.984 0.612 0.901

No. 12
ZrCoP, optimized geometry, DFT PBE-GGA; space-group type = P-62m; E = -7.84 eV per atom; total magnetic moment = 0.01 μB/f.u.
1.0
6.406 0.000 0.000
-3.203 5.548 0.000
0.000 0.000 3.677
Zr Co P
3 3 3
direct
0.000 0.615 0.000
0.385 0.385 0.000
0.615 0.000 0.000
0.000 0.000 0.000
0.333 0.667 0.500
0.667 0.333 0.500
0.000 0.289 0.500
0.289 0.000 0.500
0.711 0.711 0.500

No. 13
BeAg, optimized geometry, DFT PBE-GGA; space-group type = P-6m2; E = -2.98 eV per atom
1.0
2.744 0.000 0.000
-1.372 2.376 0.000
0.000 0.000 4.008
Be Ag
1 1
direct
0.000 0.000 0.000
0.333 0.667 0.500

No. 14
Cs2LaGdSe4, optimized geometry, DFT PBE-GGA; space-group type = P-3m1; E = -4.92 eV per atom; total magnetic moment = 0.01 μB/f.u.
1.0
4.393 0.000 0.000
-2.196 3.804 0.000
0.000 0.000 16.750
Cs La Gd Se
2 1 1 4
direct
0.333 0.667 0.253
0.667 0.333 0.747
0.000 0.000 0.000
0.000 0.000 0.500
0.333 0.667 0.591
0.333 0.667 0.902
0.667 0.333 0.098
0.667 0.333 0.409

No. 15
NbZnMo2, optimized geometry, DFT PBE-GGA; space-group type = F-43m; E = -8.10 eV per atom; total magnetic moment = 0.01 μB/f.u.
1.0
0.000 3.178 3.178
3.178 0.000 3.178
3.178 3.178 0.000
Nb Zn Mo
1 1 2
direct
0.000 0.000 0.000
0.750 0.750 0.750
0.250 0.250 0.250
0.500 0.500 0.500

No. 16
PrMgCd, optimized geometry, DFT PBE-GGA; space-group type = F-43m; E = -2.33 eV per atom; total magnetic moment = 0.00 μB/f.u.
1.0
0.000 3.528 3.528
3.528 0.000 3.528
3.528 3.528 0.000
Pr Mg Cd
1 1 1
direct
0.000 0.000 0.000
0.750 0.750 0.750
0.500 0.500 0.500

No. 17
MgTc2Pb, optimized geometry, DFT PBE-GGA; space-group type = F-43m; E = -6.01 eV per atom; total magnetic moment = 0.65 μB/f.u.
1.0
0.000 3.255 3.255
3.255 0.000 3.255
3.255 3.255 0.000
Mg Tc Pb
1 2 1
direct
0.000 0.000 0.000
0.250 0.250 0.250
0.500 0.500 0.500
0.750 0.750 0.750

No. 18
PmBi, optimized geometry, DFT PBE-GGA; space-group type = Pmma; E = -5.01 eV per atom; total magnetic moment = 0.00 μB/f.u.
1.0
6.675 0.000 0.000
0.000 6.186 0.000
0.000 0.000 6.235
Pm Bi
4 4
direct
0.000 0.000 0.000
0.250 0.500 0.324
0.500 0.000 0.000
0.750 0.500 0.676
0.250 0.000 0.485
0.250 0.500 0.830
0.750 0.000 0.515
0.750 0.500 0.170

No. 19
Pa2I8Br, optimized geometry, DFT PBE-GGA; space-group type = C2/m; E = -3.98 eV per atom; total magnetic moment = 0.99 μB/f.u.
1.0
5.009 -6.978 0.000
5.009 6.978 0.000
-0.249 0.000 9.314
Pa I Br
2 8 1
direct
0.108 0.108 0.289
0.892 0.892 0.711
0.113 0.697 0.716
0.187 0.187 0.609
0.303 0.887 0.284
0.386 0.386 0.212
0.614 0.614 0.788
0.697 0.113 0.716
0.813 0.813 0.391
0.887 0.303 0.284
0.000 0.000 0.000

No. 20
MgBeCo, optimized geometry, DFT PBE-GGA; space-group type = F-43m; E = -3.18 eV per atom; total magnetic moment = 0.02 μB/f.u.
1.0
0.000 2.816 2.816
2.816 0.000 2.816
2.816 2.816 0.000
Mg Be Co
1 1 1
direct
0.000 0.000 0.000
0.750 0.750 0.750
0.250 0.250 0.250